Entry 1:
VASP calculation (GGA-PBE) on an optimized crystal structure of HfZn2Pt2.

The structure in extended XYZ format:
```
5
Lattice="-1.995 1.995 5.264 1.995 -1.995 5.264 1.995 1.995 -5.264" Properties=species:S:1:pos:R:3 pbc="T T T"
Hf 0.000 0.000 0.000
Zn 0.000 0.000 4.141
Zn 0.000 0.000 6.388
Pt 1.995 0.000 2.632
Pt 0.000 1.995 2.632
```

Properties
density = 13858 kg/m³
DFT formation energy = -1.84 eV per formula unit
E = -26.44 eV per cell
total magnetic moment = 0.00 μB per atom
V = 16.76 Å³ per atom

Entry 2:
VASP calculation (GGA-PBE) on an optimized crystal structure of NbAsPd2.

The structure in extended XYZ format:
```
4
Lattice="0.000 3.170 3.170 3.170 0.000 3.170 3.170 3.170 0.000" Properties=species:S:1:pos:R:3 pbc="T T T"
Nb 0.000 0.000 0.000
As 4.754 4.754 4.754
Pd 1.585 1.585 1.585
Pd 3.170 3.170 3.170
```

Properties
density = 9926 kg/m³
E = -26.38 eV per cell
total magnetic moment = 0.00 μB per atom
V = 15.92 Å³ per atom